Entry 1:
Density functional theory data (PBE) for HoErGa6 after structural relaxation.

Computed properties:
The calculation puts the total energy at -31.4 eV per cell. The calculation puts the formation energy at -0.514 eV per atom. The value obtained for the density of states at the Fermi level is 0.4335 states/eV per atom.

Unit cell a=6.2178 b=6.2178 c=4.5919 alpha=90.00 beta=90.00 gamma=120.00
Space group P-6m2 (No. 187)
One atom of each set of equivalent atoms:
Ho1 0.0000 0.0000 0.0000
Er1 0.6667 0.3333 0.5000
Ga1 0.0364 0.5182 0.0000
Ga2 0.1854 0.3707 0.5000

Entry 2:
Density functional theory data (PBE) for HoEr3Ga3 after structural relaxation.

Computed properties:
The calculation puts the total energy at -60.6 eV per cell. The calculation puts the formation energy at -0.423 eV per atom. The value obtained for the density of states at the Fermi level is 0.6588 states/eV per atom.

Unit cell a=9.0259 b=9.0259 c=4.7744 alpha=90.00 beta=90.00 gamma=120.00
Space group P6_3/m (No. 176)
One atom of each set of equivalent atoms:
Ho1 0.3333 0.6667 0.2500
Er1 0.0135 0.2524 0.7500
Ga1 0.0588 0.6090 0.7500

Entry 3:
Density functional theory data (PBE) for Ho4Er3Ga4 after structural relaxation.

Computed properties:
The calculation puts the total energy at -97.3 eV per cell. The calculation puts the formation energy at -0.414 eV per atom. The value obtained for the density of states at the Fermi level is 0.8497 states/eV per atom.

Unit cell a=3.532 b=8.985 c=17.641 alpha=90.00 beta=90.00 gamma=90.00
Space group Immm (No. 71)
One atom of each set of equivalent atoms:
Ho1 0.000 0.186 0.166
Er1 0.000 0.000 0.404
Er2 0.000 0.500 0.500
Ga1 0.000 0.278 0.000
Ga2 0.000 0.500 0.229

Entry 4:
Density functional theory data (PBE) for Ho3ErGa8 after structural relaxation.

Computed properties:
The calculation puts the total energy at -147.2 eV per cell. The calculation puts the formation energy at -0.545 eV per atom. The value obtained for the density of states at the Fermi level is 0.5575 states/eV per atom.

Unit cell a=5.4647 b=5.4647 c=27.1475 alpha=90.00 beta=90.00 gamma=120.00
Space group R3m (No. 160, hexagonal axes)
One atom of each set of equivalent atoms:
Ho1 0.0000 0.0000 0.0000
Ho2 0.0000 0.0000 0.1239
Ho3 0.0000 0.0000 0.6237
Er1 0.0000 0.0000 0.5000
Ga1 0.0000 0.0000 0.3119
Ga2 0.0000 0.0000 0.8119
Ga3 0.0001 0.5000 0.0620
Ga4 0.0000 0.5000 0.5618

Entry 5:
Density functional theory data (PBE) for HoEr2Ga after structural relaxation.

Computed properties:
The calculation puts the total energy at -17.9 eV per cell. The calculation puts the formation energy at -0.282 eV per atom. The calculation puts the relative energy among the computed polymorphs at 0.001 eV/atom. The value obtained for the density of states at the Fermi level is 1.0306 states/eV per atom.

Unit cell a=3.491 b=3.491 c=8.807 alpha=90.00 beta=90.00 gamma=90.00
Space group P4/mmm (No. 123)
One atom of each set of equivalent atoms:
Ho1 0.000 0.000 0.000
Er1 0.500 0.500 0.290
Ga1 0.000 0.000 0.500

Entry 6:
Density functional theory data (PBE) for Ho3ErGa after structural relaxation.

Computed properties:
The calculation puts the total energy at -86.6 eV per cell. The calculation puts the formation energy at -0.067 eV per atom. The value obtained for the density of states at the Fermi level is 1.4447 states/eV per atom.

Unit cell a=11.737 b=8.845 c=7.642 alpha=90.00 beta=130.03 gamma=90.00
Space group C2/m (No. 12)
One atom of each set of equivalent atoms:
Ho1 0.055 0.000 0.330
Ho2 0.219 0.308 0.753
Er1 0.067 0.500 0.269
Ga1 0.244 0.500 0.114

Entry 7:
Density functional theory data (PBE) for HoEr2Ga after structural relaxation.

Computed properties:
The calculation puts the total energy at -48.5 eV per cell. The calculation puts the formation energy at 0.137 eV per atom. The calculation puts the relative energy among the computed polymorphs at 0.420 eV/atom. The value obtained for the density of states at the Fermi level is 1.0476 states/eV per atom.

Unit cell a=3.4557 b=3.4557 c=34.6261 alpha=90.00 beta=90.00 gamma=120.00
Space group R-3m (No. 166, hexagonal axes)
One atom of each set of equivalent atoms:
Ho1 0.0000 0.0000 0.0000
Er1 0.0000 0.0000 0.4144
Ga1 0.0000 0.0000 0.5000

Entry 8:
Density functional theory data (PBE) for HoErGa4 after structural relaxation.

Computed properties:
The calculation puts the total energy at -25.0 eV per cell. The calculation puts the formation energy at -0.619 eV per atom. The calculation puts the relative energy among the computed polymorphs at 0.001 eV/atom. The value obtained for the density of states at the Fermi level is 0.5284 states/eV per atom.

Unit cell a=4.2058 b=4.2058 c=8.1001 alpha=90.00 beta=90.00 gamma=120.00
Space group P6/mmm (No. 191)
One atom of each set of equivalent atoms:
Ho1 0.0000 0.0000 0.0000
Er1 0.0000 0.0000 0.5000
Ga1 0.3333 0.6667 0.2508

Entry 9:
Density functional theory data (PBE) for HoEr2Ga after structural relaxation.

Computed properties:
The calculation puts the total energy at -71.4 eV per cell. The calculation puts the formation energy at -0.283 eV per atom. The calculation puts the relative energy among the computed polymorphs at 0.000 eV/atom. The value obtained for the density of states at the Fermi level is 1.2771 states/eV per atom.

Unit cell a=3.643 b=12.622 c=9.473 alpha=90.00 beta=90.00 gamma=90.00
Space group Cmcm (No. 63)
One atom of each set of equivalent atoms:
Ho1 0.000 0.054 0.250
Er1 0.000 0.365 0.049
Ga1 0.000 0.254 0.750

Entry 10:
Density functional theory data (PBE) for HoEr5Ga4 after structural relaxation.

Computed properties:
The calculation puts the total energy at -84.8 eV per cell. The calculation puts the formation energy at -0.288 eV per atom. The value obtained for the density of states at the Fermi level is 0.8788 states/eV per atom.

Unit cell a=17.000 b=3.642 c=8.647 alpha=90.00 beta=94.99 gamma=90.00
Space group C2/m (No. 12)
One atom of each set of equivalent atoms:
Ho1 0.000 0.000 0.000
Er1 0.000 0.000 0.500
Er2 0.150 0.500 0.781
Er3 0.188 0.500 0.350
Ga1 0.023 0.500 0.256
Ga2 0.186 0.000 0.060

Entry 11:
Density functional theory data (PBE) for Ho2Er2Ga3 after structural relaxation.

Computed properties:
The calculation puts the total energy at -30.3 eV per cell. The calculation puts the formation energy at -0.423 eV per atom. The value obtained for the density of states at the Fermi level is 0.8191 states/eV per atom.

Unit cell a=3.948 b=5.573 c=8.078 alpha=98.05 beta=95.67 gamma=92.07
Space group P-1 (No. 2)
One atom of each set of equivalent atoms:
Ho1 0.177 0.081 0.313
Er1 0.285 0.459 0.819
Ga1 0.256 0.631 0.461
Ga2 0.500 0.000 0.000

Entry 12:
Density functional theory data (PBE) for HoEr2Ga6 after structural relaxation.

Computed properties:
The calculation puts the total energy at -37.4 eV per cell. The calculation puts the formation energy at -0.614 eV per atom. The calculation puts the relative energy among the computed polymorphs at 0.000 eV/atom. The value obtained for the density of states at the Fermi level is 0.3666 states/eV per atom.

Unit cell a=7.4542 b=7.4542 c=3.7755 alpha=90.00 beta=90.00 gamma=120.00
Space group P6/mmm (No. 191)
One atom of each set of equivalent atoms:
Ho1 0.0000 0.0000 0.0000
Er1 0.3333 0.6667 0.0000
Ga1 0.0000 0.3335 0.5000

- Which value of density of states at the Fermi level does entry 1 give?
  0.4335 states/eV per atom

Copy entry 11 word for word.
Density functional theory data (PBE) for Ho2Er2Ga3 after structural relaxation.

Computed properties:
The calculation puts the total energy at -30.3 eV per cell. The calculation puts the formation energy at -0.423 eV per atom. The value obtained for the density of states at the Fermi level is 0.8191 states/eV per atom.

Unit cell a=3.948 b=5.573 c=8.078 alpha=98.05 beta=95.67 gamma=92.07
Space group P-1 (No. 2)
One atom of each set of equivalent atoms:
Ho1 0.177 0.081 0.313
Er1 0.285 0.459 0.819
Ga1 0.256 0.631 0.461
Ga2 0.500 0.000 0.000